Entry 1:
VASP calculation (PBE-GGA) on AlReAsBr2 after structural relaxation.

Structure (POSCAR):
```
AlReAsBr2
1.0
-3.197 -0.318 -4.247
0.882 -5.245 -0.271
-3.716 -0.773 2.856
As Re Al Br
1 1 1 2
Direct
0.000 0.000 0.500
0.000 0.000 0.000
0.500 0.500 0.500
0.500 0.000 0.000
0.000 0.500 0.000
```

Calculated values
E above lowest polymorph in eV/atom: 0.000
Fermi-level density of states in states/eV/atom: 0.712

=====

Entry 2:
VASP calculation (PBE-GGA) on CsMgAl2H8 after structural relaxation.

Structure (POSCAR):
```
CsMgAl2H8
1.0
-1.417 4.842 0.197
-2.814 1.960 -3.706
-7.893 0.215 2.667
H Mg Al Cs
8 1 2 1
Direct
0.720 0.030 0.865
0.970 0.615 0.135
0.203 0.203 0.391
0.030 0.385 0.865
0.280 0.970 0.135
0.615 0.280 0.135
0.797 0.797 0.609
0.385 0.720 0.865
0.000 0.000 0.000
0.273 0.273 0.182
0.727 0.727 0.818
0.500 0.500 0.500
```

Calculated values
Fermi-level density of states in states/eV/atom: 0.243
Energy in eV/atom: -3.10

=====

Entry 3:
VASP calculation (PBE-GGA) on Be3AlFe after structural relaxation.

Structure (POSCAR):
```
Be3AlFe
1.0
-1.226 -3.510 -1.289
1.746 0.662 -3.463
3.306 -1.651 1.352
Be Fe Al
3 1 1
Direct
0.000 0.000 0.500
0.000 0.500 0.000
0.500 0.000 0.000
0.000 0.000 0.000
0.500 0.500 0.500
```

Calculated values
E above lowest polymorph in eV/atom: 0.000
Formation enthalpy at 0 K in meV/atom: 635.5
Fermi-level density of states in states/eV/atom: 0.566

=====

Entry 4:
VASP calculation (PBE-GGA) on SrCa3Tl after structural relaxation.

Structure (POSCAR):
```
SrCa3Tl
1.0
5.214 0.000 0.000
0.000 9.347 -1.413
0.000 -0.757 8.444
Sr Ca Tl
2 6 2
Direct
0.476 0.772 0.624
0.976 0.130 0.023
0.476 0.859 0.172
0.976 0.421 0.463
0.476 0.297 0.727
0.476 0.481 0.184
0.976 0.043 0.476
0.976 0.605 0.920
0.976 0.701 0.311
0.476 0.201 0.336
```

Calculated values
E above lowest polymorph in eV/atom: 0.000
Formation enthalpy at 0 K in meV/atom: -181.5
Fermi-level density of states in states/eV/atom: 0.964

=====

Copy entry 1 word for word.
VASP calculation (PBE-GGA) on AlReAsBr2 after structural relaxation.

Structure (POSCAR):
```
AlReAsBr2
1.0
-3.197 -0.318 -4.247
0.882 -5.245 -0.271
-3.716 -0.773 2.856
As Re Al Br
1 1 1 2
Direct
0.000 0.000 0.500
0.000 0.000 0.000
0.500 0.500 0.500
0.500 0.000 0.000
0.000 0.500 0.000
```

Calculated values
E above lowest polymorph in eV/atom: 0.000
Fermi-level density of states in states/eV/atom: 0.712